Record 1
VASP calculation (SCAN) on a PBEsol-optimized structure of Ca2ZnTc.

Cell: 3.4000 3.4000 8.0629 Å, 90.00 90.00 90.00°
Closest atoms and distances in Å follow each position.
Sites, in units of the cell vectors:
Zn 0.5000 0.5000 0.6809  4 Tc 2.56, 1 Ca 2.86
Ca 0.5000 0.5000 0.3256  1 Zn 2.86, 4 Tc 3.11
Ca 0.0000 0.0000 0.9227  1 Tc 2.84, 4 Zn 3.10
Tc 0.0000 0.0000 0.5708  4 Zn 2.56, 1 Ca 2.84

Properties
VASP energy: -0.6155 hartree per atom
crystal system: tetragonal
energy relative to the elements: 227.9 meV per atom
symmetry: P4mm, No. 99
theoretical density: 4.3 g cm⁻³
magnetization: 0.0 μB per formula unit

=====

Record 2
VASP calculation (SCAN) on a PBEsol-optimized structure of Ca2ZnTc.

Cell: 3.2954 3.2954 7.9483 Å, 90.00 90.00 90.00°
Closest atoms and distances in Å follow each position.
Sites, in units of the cell vectors:
Ca 0.0000 0.0000 0.7611  4 Tc 3.01, 4 Zn 3.12, 4 Ca 3.30
Tc 0.5000 0.5000 0.0000  8 Ca 3.01, 4 Tc 3.30
Zn 0.5000 0.5000 0.5000  8 Ca 3.12, 4 Zn 3.30
Ca 0.0000 0.0000 0.2389  4 Tc 3.01, 4 Zn 3.12, 4 Ca 3.30

Properties
VASP energy: -0.6098 hartree per atom
crystal system: tetragonal
energy relative to the elements: 381.0 meV per atom
symmetry: P4/mmm, No. 123
theoretical density: 4.7 g cm⁻³
magnetization: 1.8 μB per formula unit

=====

Record 3
VASP calculation (SCAN) on a PBEsol-optimized structure of CaZn3Tc.

Cell: 4.7474 4.7474 4.7474 Å, 90.00 90.00 90.00°
Closest atoms and distances in Å follow each position.
Sites, in units of the cell vectors:
Zn 0.0000 0.0000 0.5000  2 Tc 2.37
Zn 0.0000 0.5000 0.0000  2 Tc 2.37
Zn 0.5000 0.0000 0.0000  2 Tc 2.37
Ca 0.5000 0.5000 0.5000  12 Zn 3.36
Tc 0.0000 0.0000 0.0000  6 Zn 2.37

Properties
VASP energy: -0.6207 hartree per atom
crystal system: cubic
energy relative to the elements: 164.9 meV per atom
symmetry: Pm-3m, No. 221
theoretical density: 5.2 g cm⁻³
magnetization: 0.0 μB per formula unit

=====

- Which of these has the highest magnetization?
  number 2

=====

- Among the records above, which one has the highest theoretical density?
  CaZn3Tc

=====

- The lowest VASP energy belongs to which entry?
  CaZn3Tc